The following is a PBE calculation of an optimized crystal structure of Hg2PbBr8, from Alexandria via LeMat-Bulk.

Calculated values
The raw formation energy is -0.387 eV per atom. As for the space group: C2/m (12).

Unit cell a=7.8450 b=8.2360 c=8.2360 alpha=59.78 beta=106.94 gamma=106.94
With the nearest neighbours (Å) after each atom.
Positions (direct):
Br 0.1632 0.1430 0.6591  1 Hg 2.65, 1 Pb 2.97
Br 0.8368 0.8570 0.3409  1 Hg 2.65, 1 Pb 2.97
Br 0.7026 0.8386 0.8386  1 Pb 2.67
Br 0.2974 0.1614 0.1614  1 Pb 2.67
Br 0.8368 0.3409 0.8570  1 Hg 2.65, 1 Pb 2.97
Br 0.3595 0.6565 0.6565  1 Hg 2.51
Br 0.1632 0.6591 0.1430  1 Hg 2.65, 1 Pb 2.97
Br 0.6405 0.3435 0.3435  1 Hg 2.51
Hg 0.7697 0.2046 0.2046  3 Br 2.51-2.65
Hg 0.2303 0.7954 0.7954  3 Br 2.51-2.65
Pb 0.0000 0.0000 0.0000  6 Br 2.67-2.97